1.
A geometry-optimized Er2ScZn4 structure. Source: the Alexandria database, functional PBE.

Lattice parameters (Å, degrees): 4.764 4.764 8.491 73.71 73.71 60.00
Fractional coordinates of all 7 atoms:
Er (0.754, 0.754, 0.739)
Er (0.246, 0.246, 0.261)
Sc (0.000, 0.000, 0.000)
Zn (0.875, 0.875, 0.374)
Zn (0.125, 0.125, 0.626)
Zn (0.629, 0.629, 0.114)
Zn (0.371, 0.371, 0.886)

Calculated values
Total DFT energy (no corrections): -21.41 eV for the cell shown
Energy relative to the elements: -0.12 eV per atom
Magnetic moment: 0.00 μB per cell

2.
A geometry-optimized ErSc2Zn8 structure. Source: the Alexandria database, functional PBE.

Lattice parameters (Å, degrees): 4.719 5.682 8.046 110.68 107.06 89.98
Fractional coordinates of all 11 atoms:
Er (0.500, 0.000, 0.000)
Sc (0.690, 0.690, 0.380)
Sc (0.310, 0.310, 0.620)
Zn (0.130, 0.363, 0.260)
Zn (0.871, 0.103, 0.740)
Zn (0.750, 0.500, 0.000)
Zn (0.703, 0.203, 0.406)
Zn (0.297, 0.797, 0.594)
Zn (0.250, 0.500, 0.000)
Zn (0.129, 0.897, 0.260)
Zn (0.870, 0.637, 0.740)

Calculated values
Total DFT energy (no corrections): -30.83 eV for the cell shown
Energy relative to the elements: -0.31 eV per atom
Magnetic moment: 0.00 μB per cell

3.
A geometry-optimized Er2ScZn2 structure. Source: the Alexandria database, functional PBE.

Lattice parameters (Å, degrees): 3.517 4.955 12.981 90.00 97.82 90.00
Fractional coordinates of all 10 atoms:
Er (0.046, 0.750, 0.091)
Er (0.954, 0.250, 0.909)
Er (0.232, 0.750, 0.465)
Er (0.768, 0.250, 0.535)
Sc (0.854, 0.750, 0.709)
Sc (0.146, 0.250, 0.291)
Zn (0.640, 0.750, 0.279)
Zn (0.360, 0.250, 0.721)
Zn (0.446, 0.750, 0.891)
Zn (0.554, 0.250, 0.109)

Calculated values
Total DFT energy (no corrections): -38.55 eV for the cell shown
Energy relative to the elements: -0.25 eV per atom
Magnetic moment: 0.00 μB per cell